Record 1
Material: Cs2H2F
Method: DFT, PBE
State: relaxed

Computed properties:
spin magnetization: 0.200 μB per atom
offset from the most stable computed form: 406.4 meV/atom

abc: 5.163 17.937 5.978
angles: 90.00 90.00 90.00
Space group Cmcm (No. 63)
One atom of each set of equivalent atoms:
Cs 0.000 0.070 0.250 [4 per cell]
Cs 0.000 0.333 0.250 [4 per cell]
H 0.000 0.319 0.750 [4 per cell]
H 0.000 0.500 0.000 [4 per cell]
F 0.000 0.095 0.750 [4 per cell]


Record 2
Material: K2CrFe
Method: DFT, PBE
State: relaxed

Computed properties:
spin magnetization: 0.499 μB per atom
energy of formation from the pure elements: 1.26 eV/atom
offset from the most stable computed form: 469.6 meV/atom

abc: 4.394 4.486 11.423
angles: 90.00 90.00 90.00
Space group Immm (No. 71)
One atom of each set of equivalent atoms:
K 0.000 0.000 0.248 [4 per cell]
Cr 0.000 0.500 0.000 [2 per cell]
Fe 0.000 0.500 0.500 [2 per cell]


Record 3
Material: BaZrGa2Cl8
Method: DFT, PBE
State: relaxed

Computed properties:
formation energy from raw total energies: -1594 meV per atom
spin magnetization: 0.000 μB per atom

abc: 6.890 8.727 6.890
angles: 90.00 91.54 90.00
Space group P2/m (No. 10)
One atom of each set of equivalent atoms:
Ba 0.000 0.000 0.000 [1 per cell]
Zr 0.000 0.500 0.000 [1 per cell]
Ga 0.500 0.242 0.500 [2 per cell]
Cl 0.204 0.500 0.296 [2 per cell]
Cl 0.212 0.294 0.858 [4 per cell]
Cl 0.288 0.000 0.347 [2 per cell]


Record 4
Material: NdSn5Se7
Method: DFT, PBE
State: relaxed

Computed properties:
formation energy from raw total energies: -688 meV per atom
spin magnetization: 0.000 μB per atom

abc: 4.177 14.107 24.756
angles: 90.00 90.00 90.00
Space group Cmc2_1 (No. 36)
One atom of each set of equivalent atoms:
Nd 0.000 0.211 0.000 [4 per cell]
Sn 0.000 0.009 0.243 [4 per cell]
Sn 0.000 0.254 0.663 [4 per cell]
Sn 0.000 0.280 0.316 [4 per cell]
Sn 0.000 0.450 0.889 [4 per cell]
Sn 0.000 0.480 0.089 [4 per cell]
Se 0.000 0.079 0.846 [4 per cell]
Se 0.000 0.120 0.117 [4 per cell]
Se 0.000 0.168 0.561 [4 per cell]
Se 0.000 0.200 0.422 [4 per cell]
Se 0.000 0.354 0.778 [4 per cell]
Se 0.000 0.377 0.203 [4 per cell]
Se 0.000 0.436 0.487 [4 per cell]


Record 5
Material: Ca2NbCo
Method: DFT, PBE
State: relaxed

Computed properties:
spin magnetization: 0.328 μB per atom
energy of formation from the pure elements: 0.70 eV/atom
offset from the most stable computed form: 0.0 meV/atom

abc: 10.490 10.490 4.492
angles: 90.00 90.00 90.00
Space group I-42d (No. 122)
One atom of each set of equivalent atoms:
Ca 0.092 0.750 0.125 [8 per cell]
Nb 0.000 0.000 0.500 [4 per cell]
Co 0.000 0.000 0.000 [4 per cell]


Record 6
Material: KCrBr
Method: DFT, PBE
State: relaxed

Computed properties:
formation energy from raw total energies: 57 meV per atom
spin magnetization: 1.762 μB per atom
offset from the most stable computed form: 0.0 meV/atom

abc: 3.731 3.731 13.250
angles: 90.00 90.00 90.00
Space group I4mm (No. 107)
One atom of each set of equivalent atoms:
K 0.000 0.000 0.000 [2 per cell]
Cr 0.000 0.000 0.287 [2 per cell]
Br 0.000 0.000 0.666 [2 per cell]